# 1
# HoZrIrOs PBE-GGA optimized geometry
# **Fermi-level density of states**: 0.32 states/eV per atom
data_HoZrIrOs
_symmetry_space_group_name_H-M 'P 1'
_symmetry_Int_Tables_number 1
_symmetry_space_group_name_Hall 'P 1'
_cell_length_a 4.7310
_cell_length_b 4.7310
_cell_length_c 4.7310
_cell_angle_alpha 60.00
_cell_angle_beta 60.00
_cell_angle_gamma 60.00
loop_
_atom_site_label
_atom_site_fract_x
_atom_site_fract_y
_atom_site_fract_z
Ir1 0.7500 0.7500 0.7500
Os1 0.2500 0.2500 0.2500
Ho1 0.0000 0.0000 0.0000
Zr1 0.5000 0.5000 0.5000

=====

# 2
# Ho2PIr3 PBE-GGA optimized geometry
# **Fermi-level density of states**: 0.61 states/eV per atom
data_Ho2PIr3
_symmetry_space_group_name_H-M 'P 1'
_symmetry_Int_Tables_number 1
_symmetry_space_group_name_Hall 'P 1'
_cell_length_a 5.0475
_cell_length_b 5.0475
_cell_length_c 5.0475
_cell_angle_alpha 66.32
_cell_angle_beta 66.32
_cell_angle_gamma 66.32
loop_
_atom_site_label
_atom_site_fract_x
_atom_site_fract_y
_atom_site_fract_z
Ho1 0.3745 0.3745 0.3745
Ho2 0.6255 0.6255 0.6255
P1 0.0000 0.0000 0.0000
Ir1 0.0000 0.0000 0.5000
Ir2 0.5000 0.0000 0.0000
Ir3 0.0000 0.5000 0.0000

=====

# 3
# Ho4P6Ir7 PBE-GGA optimized geometry
# **Fermi-level density of states**: 0.34 states/eV per atom
data_Ho4P6Ir7
_symmetry_space_group_name_H-M 'P 1'
_symmetry_Int_Tables_number 1
_symmetry_space_group_name_Hall 'P 1'
_cell_length_a 7.1065
_cell_length_b 7.1065
_cell_length_c 7.1065
_cell_angle_alpha 109.47
_cell_angle_beta 109.47
_cell_angle_gamma 109.47
loop_
_atom_site_label
_atom_site_fract_x
_atom_site_fract_y
_atom_site_fract_z
Ho1 0.5000 0.0000 0.0000
Ho2 0.5000 0.5000 0.5000
Ho3 0.0000 0.5000 0.0000
Ho4 0.0000 0.0000 0.5000
P1 0.6767 0.0000 0.6767
P2 0.6767 0.6767 0.0000
P3 0.0000 0.3233 0.3233
P4 0.3233 0.0000 0.3233
P5 0.3233 0.3233 0.0000
P6 0.0000 0.6767 0.6767
Ir1 0.7500 0.5000 0.2500
Ir2 0.2500 0.7500 0.5000
Ir3 0.5000 0.7500 0.2500
Ir4 0.7500 0.2500 0.5000
Ir5 0.2500 0.5000 0.7500
Ir6 0.5000 0.2500 0.7500
Ir7 0.0000 0.0000 0.0000

=====

# 4
# HoPIr3 PBE-GGA optimized geometry
# **Fermi-level density of states**: 0.77 states/eV per atom
data_HoPIr3
_symmetry_space_group_name_H-M 'P 1'
_symmetry_Int_Tables_number 1
_symmetry_space_group_name_Hall 'P 1'
_cell_length_a 3.9795
_cell_length_b 3.9794
_cell_length_c 6.0106
_cell_angle_alpha 70.68
_cell_angle_beta 70.68
_cell_angle_gamma 90.00
loop_
_atom_site_label
_atom_site_fract_x
_atom_site_fract_y
_atom_site_fract_z
Ho1 0.3963 0.1998 0.9129
P1 0.0214 0.8249 0.6624
Ir1 0.6388 0.9425 0.4273
Ir2 0.1391 0.4423 0.4273
Ir3 0.8122 0.6157 0.0812

=====

# 5
# HoPIr2 PBE-GGA optimized geometry
# **Fermi-level density of states**: 0.53 states/eV per atom
data_HoPIr2
_symmetry_space_group_name_H-M 'P 1'
_symmetry_Int_Tables_number 1
_symmetry_space_group_name_Hall 'P 1'
_cell_length_a 4.0496
_cell_length_b 8.0827
_cell_length_c 8.5695
_cell_angle_alpha 90.00
_cell_angle_beta 90.00
_cell_angle_gamma 104.51
loop_
_atom_site_label
_atom_site_fract_x
_atom_site_fract_y
_atom_site_fract_z
Ho1 0.5000 0.0000 0.5000
Ho2 0.5000 0.0000 0.0000
Ho3 0.6907 0.3814 0.2500
Ho4 0.3093 0.6186 0.7500
P1 0.8577 0.7154 0.5227
P2 0.1423 0.2846 0.0227
P3 0.8577 0.7154 0.9773
P4 0.1423 0.2846 0.4773
Ir1 0.1124 0.2248 0.7500
Ir2 0.0577 0.1154 0.2500
Ir3 0.8876 0.7752 0.2500
Ir4 0.9423 0.8846 0.7500
Ir5 0.3014 0.6027 0.4156
Ir6 0.6986 0.3973 0.5844
Ir7 0.6986 0.3973 0.9156
Ir8 0.3014 0.6027 0.0844

=====

# 6
# Ho2P2Ir5 PBE-GGA optimized geometry
# **Fermi-level density of states**: 0.48 states/eV per atom
data_Ho2P2Ir5
_symmetry_space_group_name_H-M 'P 1'
_symmetry_Int_Tables_number 1
_symmetry_space_group_name_Hall 'P 1'
_cell_length_a 4.1013
_cell_length_b 4.1013
_cell_length_c 8.7119
_cell_angle_alpha 90.00
_cell_angle_beta 90.00
_cell_angle_gamma 90.00
loop_
_atom_site_label
_atom_site_fract_x
_atom_site_fract_y
_atom_site_fract_z
Ho1 0.0000 0.0000 0.0000
Ho2 0.0000 0.0000 0.5000
P1 0.5000 0.5000 0.1339
P2 0.5000 0.5000 0.8661
Ir1 0.5000 0.0000 0.2603
Ir2 0.5000 0.0000 0.7397
Ir3 0.0000 0.5000 0.2603
Ir4 0.0000 0.5000 0.7397
Ir5 0.5000 0.5000 0.5000

=====

# 7
# HoPIr PBE-GGA optimized geometry
# **Fermi-level density of states**: 0.43 states/eV per atom
data_HoPIr
_symmetry_space_group_name_H-M 'P 1'
_symmetry_Int_Tables_number 1
_symmetry_space_group_name_Hall 'P 1'
_cell_length_a 4.1365
_cell_length_b 5.4532
_cell_length_c 5.6230
_cell_angle_alpha 77.95
_cell_angle_beta 68.42
_cell_angle_gamma 67.71
loop_
_atom_site_label
_atom_site_fract_x
_atom_site_fract_y
_atom_site_fract_z
Ho1 0.9468 0.8087 0.2977
Ho2 0.0532 0.1913 0.7023
P1 0.6740 0.4049 0.2471
P2 0.3260 0.5951 0.7529
Ir1 0.3177 0.2284 0.1362
Ir2 0.6823 0.7716 0.8638

=====

# 8
# Ho3P5Ir6 PBE-GGA optimized geometry
# **Fermi-level density of states**: 0.42 states/eV per atom
data_Ho3P5Ir6
_symmetry_space_group_name_H-M 'P 1'
_symmetry_Int_Tables_number 1
_symmetry_space_group_name_Hall 'P 1'
_cell_length_a 3.8373
_cell_length_b 9.8224
_cell_length_c 12.1946
_cell_angle_alpha 90.00
_cell_angle_beta 90.00
_cell_angle_gamma 90.00
loop_
_atom_site_label
_atom_site_fract_x
_atom_site_fract_y
_atom_site_fract_z
Ho1 0.0000 0.2392 0.6528
Ho2 0.5000 0.7608 0.1528
Ho3 0.5000 0.7608 0.8472
Ho4 0.0000 0.2702 0.0000
Ho5 0.5000 0.7298 0.5000
Ho6 0.0000 0.2392 0.3472
P1 0.0000 0.5363 0.8816
P2 0.0000 0.8388 0.6706
P3 0.0000 0.8769 0.0000
P4 0.5000 0.4637 0.6184
P5 0.5000 0.1231 0.5000
P6 0.0000 0.5363 0.1184
P7 0.5000 0.4637 0.3816
P8 0.0000 0.8388 0.3294
P9 0.5000 0.1612 0.8294
P10 0.5000 0.1612 0.1706
Ir1 0.0000 0.0251 0.8323
Ir2 0.5000 0.9749 0.6677
Ir3 0.5000 0.3936 0.8008
Ir4 0.5000 0.5209 0.0000
Ir5 0.0000 0.4791 0.5000
Ir6 0.0000 0.6064 0.6992
Ir7 0.0000 0.6064 0.3008
Ir8 0.5000 0.0196 0.0000
Ir9 0.0000 0.0251 0.1677
Ir10 0.5000 0.3936 0.1992
Ir11 0.0000 0.9804 0.5000
Ir12 0.5000 0.9749 0.3323

=====

Energy relative to the elements readings, ordered: -0.578 -0.892 -0.954 -0.789 -0.860 -0.888 -1.041 -0.964 eV per atom
Density readings, ordered: 14.16 15.07 13.17 15.25 14.20 15.33 11.85 13.03 g cm⁻³
M_tot readings, ordered: 0.00 0.00 0.00 0.00 0.00 0.00 0.00 0.00 μB per cell